## i
A plane-wave DFT calculation with PBE-GGA was carried out for a relaxed TlReCl6 crystal.

The structure belongs to space group R-3m (No. 166, hexagonal axes); the cell edges are 6.7763, 6.7763 and 18.6023 Å and the angles 90.00°, 90.00° and 120.00°. Symmetry generates all atoms from Tl at (0.0000, 0.0000, 0.0000), Re at (0.0000, 0.0000, 0.5000) and Cl at (0.0101, 0.5050, 0.0941).

***

## ii
A plane-wave DFT calculation with PBE-GGA was carried out for a relaxed TlReCl6 crystal.

The structure belongs to space group C2/c (No. 15); the cell edges are 11.1828, 8.1838 and 10.7336 Å and the angles 90.00°, 90.24° and 90.00°. Symmetry generates all atoms from Tl at (0.0000, 0.0179, 0.2500), Re at (0.2500, 0.2500, 0.0000), Cl at (0.0753, 0.3390, 0.0950), Cl at (0.1648, 0.2960, 0.8045) and Cl at (0.1753, 0.0181, 0.4991).

***

Stability, highest: ii

***

## i
A plane-wave DFT calculation with PBE-GGA was carried out for a relaxed V2Re2Cl crystal.

The structure belongs to space group I4/mmm (No. 139); the cell edges are 3.8060, 3.8060 and 14.1105 Å and the angles 90.00°, 90.00° and 90.00°. Symmetry generates all atoms from V at (0.0000, 0.0000, 0.1375), Re at (0.0000, 0.5000, 0.2500) and Cl at (0.0000, 0.0000, 0.5000).

***

## ii
A plane-wave DFT calculation with PBE-GGA was carried out for a relaxed V2Re2Cl crystal.

The structure belongs to space group P4/mbm (No. 127); the cell edges are 7.4101, 7.4101 and 2.9245 Å and the angles 90.00°, 90.00° and 90.00°. Symmetry generates all atoms from V at (0.1491, 0.3509, 0.0000), Re at (0.1335, 0.6335, 0.5000) and Cl at (0.0000, 0.0000, 0.0000).

***

Stability, highest: i

***

## i
A plane-wave DFT calculation with PBE-GGA was carried out for a relaxed V2ReCl crystal.

The structure belongs to space group Fm-3m (No. 225); the cell edges are 6.1820, 6.1820 and 6.1820 Å and the angles 90.00°, 90.00° and 90.00°. Symmetry generates all atoms from V at (0.2500, 0.2500, 0.2500), Re at (0.0000, 0.0000, 0.0000) and Cl at (0.0000, 0.0000, 0.5000).

***

## ii
A plane-wave DFT calculation with PBE-GGA was carried out for a relaxed V2ReCl crystal.

The structure belongs to space group I-42d (No. 122); the cell edges are 6.5067, 6.5067 and 5.6045 Å and the angles 90.00°, 90.00° and 90.00°. Symmetry generates all atoms from V at (0.2162, 0.7500, 0.1250), Re at (0.0000, 0.0000, 0.5000) and Cl at (0.0000, 0.0000, 0.0000).

***

Stability, highest: ii